1.
# MnBeZn2 PBEsol relaxed
# Calculated formation energy in eV per atom: 0.221
# Mass density in g cm⁻³: 6.89
data_MnBeZn2
_chemical_formula_sum 'Mn3 Be3 Zn6'
_symmetry_space_group_name_H-M 'R -3 m'
_symmetry_Int_Tables_number 166
_symmetry_space_group_name_Hall '-R 3 2"'
_cell_length_a 2.5571
_cell_length_b 2.5571
_cell_length_c 24.8571
_cell_angle_alpha 90.00
_cell_angle_beta 90.00
_cell_angle_gamma 120.00
loop_
_atom_site_label
_atom_site_type_symbol
_atom_site_fract_x
_atom_site_fract_y
_atom_site_fract_z
Mn1 Mn 0.0000 0.0000 0.0000
Be1 Be 0.0000 0.0000 0.5000
Zn1 Zn 0.0000 0.0000 0.2473

***

2.
# LaHf2MnRh PBEsol relaxed
# Calculated formation energy in eV per atom: 0.263
# Mass density in g cm⁻³: 9.15
data_LaHf2MnRh
_chemical_formula_sum 'La1 Hf2 Mn1 Rh1'
_symmetry_space_group_name_H-M 'P 4/m m m'
_symmetry_Int_Tables_number 123
_symmetry_space_group_name_Hall '-P 4 2'
_cell_length_a 4.917
_cell_length_b 4.917
_cell_length_c 4.905
_cell_angle_alpha 90.00
_cell_angle_beta 90.00
_cell_angle_gamma 90.00
loop_
_atom_site_label
_atom_site_type_symbol
_atom_site_fract_x
_atom_site_fract_y
_atom_site_fract_z
La1 La 0.000 0.000 0.000
Hf1 Hf 0.000 0.500 0.500
Mn1 Mn 0.500 0.500 0.000
Rh1 Rh 0.500 0.500 0.500

***

3.
# ThMgRh2 PBEsol relaxed
# Calculated formation energy in eV per atom: -0.635
# Mass density in g cm⁻³: 10.24
data_ThMgRh2
_chemical_formula_sum 'Th4 Mg4 Rh8'
_symmetry_space_group_name_H-M 'F m -3 m'
_symmetry_Int_Tables_number 225
_symmetry_space_group_name_Hall '-F 4 2 3'
_cell_length_a 6.692
_cell_length_b 6.692
_cell_length_c 6.692
_cell_angle_alpha 90.00
_cell_angle_beta 90.00
_cell_angle_gamma 90.00
loop_
_atom_site_label
_atom_site_type_symbol
_atom_site_fract_x
_atom_site_fract_y
_atom_site_fract_z
Th1 Th 0.000 0.000 0.000
Mg1 Mg 0.000 0.000 0.500
Rh1 Rh 0.250 0.250 0.250

***

4.
# MnOF PBEsol relaxed
# Formation energy (no corrections) in eV per formula unit: -5.66
# Mass density in g cm⁻³: 3.41
data_MnOF
_chemical_formula_sum 'Mn4 O4 F4'
_symmetry_space_group_name_H-M 'P n m a'
_symmetry_Int_Tables_number 62
_cell_length_a 5.415
_cell_length_b 3.625
_cell_length_c 8.929
_cell_angle_alpha 90.00
_cell_angle_beta 90.00
_cell_angle_gamma 90.00
loop_
_symmetry_equiv_pos_as_xyz
'x,y,z'
'-x,-y,-z'
'-x+1/2,-y,z+1/2'
'x+1/2,y,-z+1/2'
'x+1/2,-y+1/2,-z+1/2'
'-x+1/2,y+1/2,z+1/2'
'-x,y+1/2,-z'
'x,-y+1/2,z'
loop_
_atom_site_label
_atom_site_type_symbol
_atom_site_fract_x
_atom_site_fract_y
_atom_site_fract_z
Mn1 Mn 0.125 0.250 0.097
O1 O 0.141 0.750 0.043
F1 F 0.092 0.750 0.716

***

5.
# GeSbAu2 PBEsol relaxed
# Formation energy (no corrections) in eV per formula unit: 0.46
# Mass density in g cm⁻³: 12.42
data_GeSbAu2
_chemical_formula_sum 'Ge4 Sb4 Au8'
_symmetry_space_group_name_H-M 'F m -3 m'
_symmetry_Int_Tables_number 225
_symmetry_space_group_name_Hall '-F 4 2 3'
_cell_length_a 6.801
_cell_length_b 6.801
_cell_length_c 6.801
_cell_angle_alpha 90.00
_cell_angle_beta 90.00
_cell_angle_gamma 90.00
loop_
_atom_site_label
_atom_site_type_symbol
_atom_site_fract_x
_atom_site_fract_y
_atom_site_fract_z
Ge1 Ge 0.000 0.000 0.000
Sb1 Sb 0.000 0.000 0.500
Au1 Au 0.250 0.250 0.250

***

6.
# Cr4Ru PBEsol relaxed
# Calculated formation energy in eV per atom: 0.071
# Mass density in g cm⁻³: 8.84
data_Cr4Ru
_chemical_formula_sum 'Cr8 Ru2'
_symmetry_space_group_name_H-M 'I 4/m'
_symmetry_Int_Tables_number 87
_symmetry_space_group_name_Hall '-I 4'
_cell_length_a 6.406
_cell_length_b 6.406
_cell_length_c 2.829
_cell_angle_alpha 90.00
_cell_angle_beta 90.00
_cell_angle_gamma 90.00
loop_
_atom_site_label
_atom_site_type_symbol
_atom_site_fract_x
_atom_site_fract_y
_atom_site_fract_z
Cr1 Cr 0.110 0.311 0.000
Ru1 Ru 0.000 0.000 0.500

***

> Number 4 is which compound?

MnOF

***

> What is the mass density in the first record?

6.89 g cm⁻³

***

> Among the records above, which one has the highest mass density?

GeSbAu2

***

> Number 4 is which compound?

MnOF